Record 1
The following is a DFT calculation (PBE-GGA) of a relaxed NdNiAgPb crystal.

Lattice parameters (Å, degrees): 4.9552 4.9552 4.9552 60.00 60.00 60.00
Element x y z (fractional)
Pb  0.7500  0.7500  0.7500
Nd  0.2500  0.2500  0.2500
Ni  0.0000  0.0000  0.0000
Ag  0.5000  0.5000  0.5000

Output
Uncorrected energy   -4.46 eV/atom
ΔE_f   -0.187 eV per atom
Crystal system   cubic

***

Record 2
The following is a DFT calculation (PBE-GGA) of a relaxed NdNiAgPd crystal.

Lattice parameters (Å, degrees): 4.7582 4.7582 4.7582 60.00 60.00 60.00
Element x y z (fractional)
Nd  0.7500  0.7500  0.7500
Ni  0.5000  0.5000  0.5000
Pd  0.0000  0.0000  0.0000
Ag  0.2500  0.2500  0.2500

Output
Uncorrected energy   -4.90 eV/atom
ΔE_f   -0.251 eV per atom
Crystal system   cubic

***

Record 3
The following is a DFT calculation (PBE-GGA) of a relaxed NdScNiAg crystal.

Lattice parameters (Å, degrees): 4.9360 4.9360 4.9360 60.00 60.00 60.00
Element x y z (fractional)
Ag  0.2500  0.2500  0.2500
Sc  0.5000  0.5000  0.5000
Nd  0.0000  0.0000  0.0000
Ni  0.7500  0.7500  0.7500

Output
Uncorrected energy   -5.15 eV/atom
ΔE_f   -0.218 eV per atom
Crystal system   cubic

***

Record 4
The following is a DFT calculation (PBE-GGA) of a relaxed NdNiAgSn crystal.

Lattice parameters (Å, degrees): 4.8812 4.8812 4.8812 60.00 60.00 60.00
Element x y z (fractional)
Ni  0.0000  0.0000  0.0000
Nd  0.7500  0.7500  0.7500
Sn  0.2500  0.2500  0.2500
Ag  0.5000  0.5000  0.5000

Output
Uncorrected energy   -4.69 eV/atom
ΔE_f   -0.336 eV per atom
Crystal system   cubic

***

Record 5
The following is a DFT calculation (PBE-GGA) of a relaxed SrNdNiAg crystal.

Lattice parameters (Å, degrees): 5.2240 5.2240 5.2240 60.00 60.00 60.00
Element x y z (fractional)
Ni  0.7500  0.7500  0.7500
Sr  0.5000  0.5000  0.5000
Ag  0.2500  0.2500  0.2500
Nd  0.0000  0.0000  0.0000

Output
Uncorrected energy   -3.85 eV/atom
ΔE_f   -0.082 eV per atom
Crystal system   cubic

***

Record 6
The following is a DFT calculation (PBE-GGA) of a relaxed TbNdNiAg crystal.

Lattice parameters (Å, degrees): 5.0736 5.0736 5.0736 60.00 60.00 60.00
Element x y z (fractional)
Ag  0.2500  0.2500  0.2500
Ni  0.7500  0.7500  0.7500
Tb  0.5000  0.5000  0.5000
Nd  0.0000  0.0000  0.0000

Output
Uncorrected energy   -4.75 eV/atom
ΔE_f   -0.247 eV per atom
Crystal system   cubic

***

Record 7
The following is a DFT calculation (PBE-GGA) of a relaxed NdThNiAg crystal.

Lattice parameters (Å, degrees): 5.1387 5.1387 5.1387 60.00 60.00 60.00
Element x y z (fractional)
Nd  0.2500  0.2500  0.2500
Ni  0.5000  0.5000  0.5000
Th  0.7500  0.7500  0.7500
Ag  0.0000  0.0000  0.0000

Output
Uncorrected energy   -5.33 eV/atom
ΔE_f   -0.122 eV per atom
Crystal system   cubic

***

Record 8
The following is a DFT calculation (PBE-GGA) of a relaxed NdTlNiAg crystal.

Lattice parameters (Å, degrees): 4.9372 4.9372 4.9372 60.00 60.00 60.00
Element x y z (fractional)
Tl  0.5000  0.5000  0.5000
Ag  0.7500  0.7500  0.7500
Nd  0.0000  0.0000  0.0000
Ni  0.2500  0.2500  0.2500

Output
Uncorrected energy   -4.05 eV/atom
ΔE_f   -0.113 eV per atom
Crystal system   cubic

***

Record 9
The following is a DFT calculation (PBE-GGA) of a relaxed NdTmNiAg crystal.

Lattice parameters (Å, degrees): 5.0286 5.0286 5.0286 60.00 60.00 60.00
Element x y z (fractional)
Ni  0.0000  0.0000  0.0000
Ag  0.5000  0.5000  0.5000
Tm  0.7500  0.7500  0.7500
Nd  0.2500  0.2500  0.2500

Output
Uncorrected energy   -4.74 eV/atom
ΔE_f   -0.270 eV per atom
Crystal system   cubic

***

Record 10
The following is a DFT calculation (PBE-GGA) of a relaxed NdYNiAg crystal.

Lattice parameters (Å, degrees): 5.0716 5.0716 5.0716 60.00 60.00 60.00
Element x y z (fractional)
Ag  0.5000  0.5000  0.5000
Nd  0.7500  0.7500  0.7500
Ni  0.0000  0.0000  0.0000
Y  0.2500  0.2500  0.2500

Output
Uncorrected energy   -5.22 eV/atom
ΔE_f   -0.252 eV per atom
Crystal system   cubic

***

Record 11
The following is a DFT calculation (PBE-GGA) of a relaxed Nd2Zn5Ni2Ag crystal.

Lattice parameters (Å, degrees): 4.1823 9.3292 9.3292 90.00 90.00 90.00
Element x y z (fractional)
Zn  0.5000  0.5567  0.7106
Nd  0.0000  0.1833  0.3167
Ni  0.0000  0.3909  0.1091
Zn  0.5000  0.4433  0.2894
Ag  0.0000  0.0000  0.0000
Nd  0.0000  0.3167  0.8167
Zn  0.5000  0.0567  0.7894
Zn  0.5000  0.0000  0.5000
Zn  0.5000  0.7894  0.9433
Nd  0.0000  0.8167  0.6833
Zn  0.5000  0.2894  0.5567
Ni  0.0000  0.8909  0.3909
Zn  0.5000  0.5000  0.0000
Zn  0.5000  0.2106  0.0567
Zn  0.5000  0.7106  0.4433
Ni  0.0000  0.6091  0.8909
Nd  0.0000  0.6833  0.1833
Ni  0.0000  0.1091  0.6091
Zn  0.5000  0.9433  0.2106
Ag  0.0000  0.5000  0.5000

Output
Uncorrected energy   -3.28 eV/atom
ΔE_f   -0.251 eV per atom
Crystal system   tetragonal

***

Record 12
The following is a DFT calculation (PBE-GGA) of a relaxed NdZnNiAg crystal.

Lattice parameters (Å, degrees): 4.7710 4.7710 4.7710 60.00 60.00 60.00
Element x y z (fractional)
Ag  0.0000  0.0000  0.0000
Nd  0.5000  0.5000  0.5000
Ni  0.7500  0.7500  0.7500
Zn  0.2500  0.2500  0.2500

Output
Uncorrected energy   -3.79 eV/atom
ΔE_f   -0.117 eV per atom
Crystal system   cubic

***

Record 13
The following is a DFT calculation (PBE-GGA) of a relaxed NdNpAgO6 crystal.

Lattice parameters (Å, degrees): 4.6141 5.9421 5.9421 120.00 90.00 90.00
Element x y z (fractional)
O  0.2712  0.2906  0.2884
O  0.7288  0.9977  0.2884
O  0.2712  0.7116  0.0023
Np  0.5000  0.0000  0.0000
Ag  0.0000  0.3333  0.6667
Nd  0.5000  0.6667  0.3333
O  0.7288  0.7116  0.7094
O  0.2712  0.9977  0.7094
O  0.7288  0.2906  0.0023

Output
Uncorrected energy   -7.67 eV/atom
Crystal system   trigonal

***

Record 14
The following is a DFT calculation (PBE-GGA) of a relaxed Nd2NpAgO8 crystal.

Lattice parameters (Å, degrees): 4.2557 5.4107 7.7097 98.50 86.86 98.02
Element x y z (fractional)
O  0.5864  0.7814  0.0122
O  0.9612  0.1938  0.7517
O  0.9193  0.2743  0.1770
O  0.6301  0.7383  0.5371
O  0.0807  0.7257  0.8230
Nd  0.4742  0.5468  0.2635
O  0.4136  0.2186  0.9878
Nd  0.5258  0.4532  0.7365
Np  0.0000  0.0000  0.0000
O  0.3699  0.2617  0.4629
O  0.0388  0.8062  0.2483
Ag  0.0000  0.0000  0.5000

Output
Uncorrected energy   -7.77 eV/atom
Crystal system   triclinic

***

Record 15
The following is a DFT calculation (PBE-GGA) of a relaxed Nd2NpAg3Te6 crystal.

Lattice parameters (Å, degrees): 4.5031 8.4794 10.3100 102.11 102.61 90.00
Last column: magnetic moment on the atom in μB.
Element x y z (fractional)
Te  0.6611  0.5769  0.3221  0.00
Ag  0.2098  0.7649  0.4196  0.00
Te  0.3389  0.4231  0.6779  0.00
Ag  0.7902  0.2351  0.5804  0.00
Ag  0.5000  0.5000  0.0000  -0.01
Np  0.5000  0.0000  0.0000  3.97
Te  0.6590  0.0427  0.3180  -0.02
Te  0.0106  0.2610  0.0213  -0.06
Te  0.9894  0.7390  0.9787  -0.06
Nd  0.1722  0.3119  0.3445  0.02
Te  0.3410  0.9573  0.6820  -0.02
Nd  0.8278  0.6881  0.6555  0.02

Output
Uncorrected energy   -4.85 eV/atom
Crystal system   monoclinic

***

Record 16
The following is a DFT calculation (PBE-GGA) of a relaxed Nd4AgO7 crystal.

Lattice parameters (Å, degrees): 4.1448 6.8920 7.0875 84.38 73.00 72.50
Element x y z (fractional)
Ag  0.0000  0.0000  0.0000
O  0.3637  0.5795  0.6931
Nd  0.2504  0.3386  0.1607
Nd  0.5870  0.2236  0.6024
O  0.5000  0.0000  0.0000
O  0.9060  0.3031  0.8848
Nd  0.4130  0.7764  0.3976
O  0.2023  0.1472  0.4482
O  0.0940  0.6969  0.1152
Nd  0.7496  0.6614  0.8393
O  0.6363  0.4205  0.3069
O  0.7977  0.8528  0.5518

Output
Uncorrected energy   -7.50 eV/atom
Crystal system   monoclinic

***

Record 17
The following is a DFT calculation (PBE-GGA) of a relaxed Nd3AgO6 crystal.

Lattice parameters (Å, degrees): 5.7666 7.4340 7.4340 102.20 90.00 90.00
Last column: magnetic moment on the atom in μB.
Element x y z (fractional)
O  0.6799  0.5915  0.1039  0.21
Nd  0.4728  0.9111  0.6829  0.00
O  0.1799  0.4085  0.8961  0.21
O  0.6799  0.8961  0.4085  0.21
O  0.1978  0.3551  0.3269  0.03
Nd  0.4728  0.3171  0.0889  0.00
O  0.2502  0.0166  0.9834  0.03
Nd  0.9178  0.6033  0.3967  0.00
O  0.6978  0.3269  0.3551  0.03
Ag  0.4714  0.8579  0.1421  0.12
O  0.6451  0.2210  0.7790  0.08
Nd  0.4178  0.3967  0.6033  0.00
Nd  0.9728  0.0889  0.3171  0.00
Ag  0.9714  0.1421  0.8579  0.12
O  0.7502  0.9834  0.0166  0.03
O  0.1451  0.7790  0.2210  0.08
Nd  0.9728  0.6829  0.9111  0.00
O  0.1978  0.6731  0.6449  0.03
O  0.1799  0.1039  0.5915  0.21
O  0.6978  0.6449  0.6731  0.03

Output
Uncorrected energy   -7.15 eV/atom
Crystal system   orthorhombic

***

Record 18
The following is a DFT calculation (PBE-GGA) of a relaxed Nd2AgO crystal.

Lattice parameters (Å, degrees): 3.8072 3.8072 7.4465 75.19 75.19 60.00
Element x y z (fractional)
Nd  0.7297  0.7297  0.8109
Nd  0.2703  0.2703  0.1891
Ag  0.5000  0.5000  0.5000
O  0.0000  0.0000  0.0000

Output
Uncorrected energy   -5.65 eV/atom
Crystal system   trigonal

***

Record 19
The following is a DFT calculation (PBE-GGA) of a relaxed NdAgOs2O8 crystal.

Lattice parameters (Å, degrees): 6.1246 6.1246 6.8198 90.00 90.00 120.00
Last column: magnetic moment on the atom in μB.
Element x y z (fractional)
Ag  0.0000  0.0000  0.0000  0.04
Nd  0.0000  0.0000  0.5000  0.07
O  0.8292  0.1713  0.2797  0.14
O  0.6667  0.3333  0.9322  0.20
O  0.3421  0.1708  0.2797  0.14
Os  0.3333  0.6667  0.8103  1.10
O  0.8287  0.6579  0.2797  0.14
O  0.1708  0.8287  0.7203  0.14
O  0.6579  0.8292  0.7203  0.14
O  0.3333  0.6667  0.0678  0.20
Os  0.6667  0.3333  0.1897  1.10
O  0.1713  0.3421  0.7203  0.14

Output
Uncorrected energy   -7.01 eV/atom
Crystal system   trigonal

***

Record 20
The following is a DFT calculation (PBE-GGA) of a relaxed Nd2AgOsO8 crystal.

Lattice parameters (Å, degrees): 4.2265 5.4379 7.0996 83.12 94.42 95.76
Element x y z (fractional)
O  0.2248  0.3493  0.4405
Nd  0.6813  0.4884  0.2648
O  0.7844  0.0589  0.2190
O  0.7760  0.2256  0.8367
Os  0.0000  0.0000  0.0000
O  0.7752  0.6507  0.5595
Nd  0.3187  0.5116  0.7352
O  0.7034  0.7292  0.9570
O  0.2966  0.2708  0.0430
O  0.2240  0.7744  0.1633
O  0.2156  0.9411  0.7810
Ag  0.0000  0.0000  0.5000

Output
Uncorrected energy   -7.03 eV/atom
Crystal system   triclinic

***

Respective density values: 10.0, 9.1, 6.9, 8.7, 6.6, 8.4, 9.4, 10.1, 8.9, 7.2, 7.7, 8.1, 6.9, 7.3, 7.1, 7.2, 6.8, 7.7, 5.7, 7.4 g/cm³.